# Ca2ReTc | Alexandria via LeMat-Bulk | PBE | optimized geometry
data_Ca2ReTc
_cell_length_a 6.784
_cell_length_b 6.784
_cell_length_c 6.784
_cell_angle_alpha 90.00
_cell_angle_beta 90.00
_cell_angle_gamma 90.00
_space_group_name_H-M_alt 'F -4 3 m'
_space_group_IT_number 216
_space_group_name_Hall 'F -4 2 3'
loop_
_atom_site_label
_atom_site_type_symbol
_atom_site_fract_x
_atom_site_fract_y
_atom_site_fract_z
Ca1 Ca 0.000 0.000 0.000
Ca2 Ca 0.250 0.250 0.250
Re1 Re 0.250 0.250 0.750
Tc1 Tc 0.000 0.000 0.500
# polymorph energy (0 for the lowest one): 439 meV/atom
# calculated formation energy: 0.700 eV/atom


# Ba2SrTa | Alexandria via LeMat-Bulk | PBE | optimized geometry
data_Ba2SrTa
_cell_length_a 7.498
_cell_length_b 12.350
_cell_length_c 3.641
_cell_angle_alpha 90.00
_cell_angle_beta 108.38
_cell_angle_gamma 90.00
_space_group_name_H-M_alt 'C 1 2/m 1'
_space_group_IT_number 12
loop_
_space_group_symop_operation_xyz
'x,y,z'
'-x,-y,-z'
'-x,y,-z'
'x,-y,z'
'x+1/2,y+1/2,z'
'-x+1/2,-y+1/2,-z'
'-x+1/2,y+1/2,-z'
'x+1/2,-y+1/2,z'
loop_
_atom_site_label
_atom_site_type_symbol
_atom_site_fract_x
_atom_site_fract_y
_atom_site_fract_z
Ba1 Ba 0.250 0.250 0.000
Sr1 Sr 0.000 0.000 0.500
Ta1 Ta 0.000 0.500 0.500
# polymorph energy (0 for the lowest one): 204 meV/atom
# calculated formation energy: 1.034 eV/atom


# AcTbGa4 | Alexandria via LeMat-Bulk | PBE | optimized geometry
data_AcTbGa4
_cell_length_a 8.090
_cell_length_b 8.090
_cell_length_c 8.090
_cell_angle_alpha 90.00
_cell_angle_beta 90.00
_cell_angle_gamma 90.00
_space_group_name_H-M_alt 'F -4 3 m'
_space_group_IT_number 216
_space_group_name_Hall 'F -4 2 3'
loop_
_atom_site_label
_atom_site_type_symbol
_atom_site_fract_x
_atom_site_fract_y
_atom_site_fract_z
Ac1 Ac 0.000 0.000 0.000
Tb1 Tb 0.250 0.250 0.250
Ga1 Ga 0.125 0.125 0.625
# polymorph energy (0 for the lowest one): 141 meV/atom
# calculated formation energy: -0.465 eV/atom


# CaTm2ThP4 | Alexandria via LeMat-Bulk | PBE | optimized geometry
data_CaTm2ThP4
_cell_length_a 6.981
_cell_length_b 4.064
_cell_length_c 7.024
_cell_angle_alpha 90.00
_cell_angle_beta 109.20
_cell_angle_gamma 90.00
_space_group_name_H-M_alt 'P 1 2/m 1'
_space_group_IT_number 10
loop_
_space_group_symop_operation_xyz
'x,y,z'
'-x,-y,-z'
'-x,y,-z'
'x,-y,z'
loop_
_atom_site_label
_atom_site_type_symbol
_atom_site_fract_x
_atom_site_fract_y
_atom_site_fract_z
Ca1 Ca 0.000 0.000 0.000
Tm1 Tm 0.000 0.500 0.500
Tm2 Tm 0.500 0.000 0.500
Th1 Th 0.500 0.500 0.000
P1 P 0.248 0.000 0.740
P2 P 0.258 0.500 0.262
# calculated formation energy: -1.478 eV/atom


# PaZn2Hg | Alexandria via LeMat-Bulk | PBE | optimized geometry
data_PaZn2Hg
_cell_length_a 3.123
_cell_length_b 21.447
_cell_length_c 4.829
_cell_angle_alpha 90.00
_cell_angle_beta 90.00
_cell_angle_gamma 90.00
_space_group_name_H-M_alt 'C m c m'
_space_group_IT_number 63
_space_group_name_Hall '-C 2c 2'
loop_
_atom_site_label
_atom_site_type_symbol
_atom_site_fract_x
_atom_site_fract_y
_atom_site_fract_z
Pa1 Pa 0.000 0.091 0.250
Zn1 Zn 0.000 0.275 0.750
Zn2 Zn 0.000 0.469 0.250
Hg1 Hg 0.000 0.337 0.250
# polymorph energy (0 for the lowest one): 0 meV/atom
# calculated formation energy: 0.006 eV/atom


# Rb3Mn5Cl12 | Alexandria via LeMat-Bulk | PBE | optimized geometry
data_Rb3Mn5Cl12
_cell_length_a 16.533
_cell_length_b 16.533
_cell_length_c 16.533
_cell_angle_alpha 90.00
_cell_angle_beta 90.00
_cell_angle_gamma 90.00
_space_group_name_H-M_alt 'I a -3 d'
_space_group_IT_number 230
_space_group_name_Hall '-I 4bd 2c 3'
loop_
_atom_site_label
_atom_site_type_symbol
_atom_site_fract_x
_atom_site_fract_y
_atom_site_fract_z
Rb1 Rb 0.000 0.250 0.125
Mn1 Mn 0.000 0.000 0.000
Mn2 Mn 0.000 0.250 0.375
Cl1 Cl 0.037 0.048 0.645
# E_tot: -770.034 eV/cell